Density functional theory data (PBE-GGA) for a geometry-optimized LaMg2H2 structure.

Computed properties:
Total magnetic moment in μB/cell: 0.8
D(E_F) in states/eV/atom: 0.321
Energy above the lowest structure with this stoichiometry in meV per atom: 303.4
Calculated total energy in eV for the cell shown: -14.02

a b c (Å): 3.7871 3.7871 6.7274
angles (deg): 73.65 73.65 90.00
Last column: nearest neighbours and their distance in Å.
Fractional positions:
H 0.5871 0.5871 0.8257  1 H 2.15
La 0.0000 0.0000 0.0000  8 H 2.89
Mg 0.2500 0.7500 0.5000  4 Mg 2.68, 4 H 2.76
Mg 0.7500 0.2500 0.5000  4 Mg 2.68, 4 H 2.76
H 0.4129 0.4129 0.1743  1 H 2.15



Density functional theory data (PBE-GGA) for a geometry-optimized LaMg2H2 structure.

Computed properties:
Total magnetic moment in μB/cell: 0.0
D(E_F) in states/eV/atom: 0.691
Energy above the lowest structure with this stoichiometry in meV per atom: 0.0
Calculated total energy in eV for the cell shown: -31.07

a b c (Å): 6.5231 6.5231 4.5403
angles (deg): 90.00 90.00 90.00
Last column: nearest neighbours and their distance in Å.
Fractional positions:
H 0.1842 0.6842 0.0000  2 Mg 2.27, 2 La 2.38
Mg 0.8310 0.3310 0.5000  2 H 2.27
La 0.0000 0.0000 0.0000  4 H 2.38
La 0.5000 0.5000 0.0000  4 H 2.38
Mg 0.1690 0.6690 0.5000  2 H 2.27
H 0.3158 0.1842 0.0000  2 Mg 2.27, 2 La 2.38
Mg 0.3310 0.1690 0.5000  2 H 2.27
H 0.6842 0.8158 0.0000  2 Mg 2.27, 2 La 2.38
Mg 0.6690 0.8310 0.5000  2 H 2.27
H 0.8158 0.3158 0.0000  2 Mg 2.27, 2 La 2.38



Density functional theory data (PBE-GGA) for a geometry-optimized LaMg2H6 structure.

Computed properties:
Total magnetic moment in μB/cell: 0.0
D(E_F) in states/eV/atom: 0.566
Calculated total energy in eV for the cell shown: -23.81

a b c (Å): 5.5535 5.5535 5.5535
angles (deg): 60.00 60.00 60.00
Last column: nearest neighbours and their distance in Å.
Fractional positions:
H 0.7153 0.2847 0.2847  1 La 2.24, 4 H 2.39
Mg 0.7500 0.7500 0.7500  12 H 2.79
H 0.7153 0.2847 0.7153  1 La 2.24, 4 H 2.39
H 0.2847 0.7153 0.7153  1 La 2.24, 4 H 2.39
H 0.2847 0.2847 0.7153  1 La 2.24, 4 H 2.39
Mg 0.2500 0.2500 0.2500  12 H 2.79
H 0.2847 0.7153 0.2847  1 La 2.24, 4 H 2.39
La 0.0000 0.0000 0.0000  6 H 2.24
H 0.7153 0.7153 0.2847  1 La 2.24, 4 H 2.39



Density functional theory data (PBE-GGA) for a geometry-optimized LaMgH2 structure.

Computed properties:
Total magnetic moment in μB/cell: 0.0
D(E_F) in states/eV/atom: 0.658
Energy above the lowest structure with this stoichiometry in meV per atom: 60.1
Calculated total energy in eV for the cell shown: -13.59

a b c (Å): 4.4199 4.4199 4.4199
angles (deg): 60.00 60.00 60.00
Last column: nearest neighbours and their distance in Å.
Fractional positions:
Mg 0.0000 0.0000 0.0000  8 H 2.71
La 0.5000 0.5000 0.5000  8 H 2.71
H 0.2500 0.2500 0.2500  4 La 2.71, 4 Mg 2.71
H 0.7500 0.7500 0.7500  4 La 2.71, 4 Mg 2.71



Density functional theory data (PBE-GGA) for a geometry-optimized LaMg2H structure.

Computed properties:
Total magnetic moment in μB/cell: 0.0
D(E_F) in states/eV/atom: 0.962
Energy above the lowest structure with this stoichiometry in meV per atom: 581.8
Calculated total energy in eV for the cell shown: -8.92

a b c (Å): 5.1963 5.1963 5.1963
angles (deg): 60.00 60.00 60.00
Last column: nearest neighbours and their distance in Å.
Fractional positions:
H 0.0000 0.0000 0.0000  8 Mg 3.18
La 0.5000 0.5000 0.5000  8 Mg 3.18
Mg 0.7500 0.7500 0.7500  4 H 3.18, 4 La 3.18
Mg 0.2500 0.2500 0.2500  4 La 3.18, 4 H 3.18



Density functional theory data (PBE-GGA) for a geometry-optimized LaMgH4 structure.

Computed properties:
Total magnetic moment in μB/cell: 0.0
D(E_F) in states/eV/atom: 0.248
Calculated total energy in eV for the cell shown: -22.18

a b c (Å): 3.6216 3.6216 5.3819
angles (deg): 89.94 89.96 90.00
Last column: nearest neighbours and their distance in Å.
Fractional positions:
H 0.5011 0.9967 0.2812  2 Mg 2.15, 1 H 2.34, 2 La 2.37
H 0.0016 0.4978 0.7152  2 Mg 2.15-2.16, 1 H 2.34, 2 La 2.37
Mg 0.0011 0.9977 0.4980  8 H 2.15-2.16
H 0.0011 0.4967 0.2812  2 Mg 2.15-2.16, 1 H 2.34, 2 La 2.37
La 0.5014 0.4971 0.9981  8 H 2.37
H 0.5016 0.9977 0.7152  2 Mg 2.15-2.16, 1 H 2.34, 2 La 2.37



Density functional theory data (PBE-GGA) for a geometry-optimized LaMg2H structure.

Computed properties:
Total magnetic moment in μB/cell: 0.0
D(E_F) in states/eV/atom: 0.982
Energy above the lowest structure with this stoichiometry in meV per atom: 0.0
Calculated total energy in eV for the cell shown: -22.49

a b c (Å): 6.3561 6.3561 6.3565
angles (deg): 60.00 60.00 90.00
Last column: nearest neighbours and their distance in Å.
Fractional positions:
La 0.0000 0.0000 0.0000  12 Mg 3.72-3.73, 4 La 3.89, 4 H 3.89
H 0.5000 0.5000 0.0000  4 Mg 1.95
Mg 0.3753 0.1250 0.2500  2 H 1.95
La 0.7500 0.2500 0.5000  12 Mg 3.72-3.73, 4 H 3.89, 4 La 3.89
H 0.2500 0.7500 0.5000  4 Mg 1.95
Mg 0.3747 0.6250 0.2500  2 H 1.95
Mg 0.3750 0.6247 0.7500  2 H 1.95
Mg 0.8750 0.6253 0.7500  2 H 1.95



Density functional theory data (PBE-GGA) for a geometry-optimized La12Mg3H5 structure.

Computed properties:
Total magnetic moment in μB/cell: 0.0
D(E_F) in states/eV/atom: 1.218
Calculated total energy in eV for the cell shown: -330.80

a b c (Å): 14.3362 14.3362 14.3362
angles (deg): 109.47 109.47 109.47
Last column: nearest neighbours and their distance in Å.
Fractional positions:
H 0.6250 0.8750 0.2500  4 La 2.33
La 0.0945 0.1927 0.4891  1 H 2.33
H 0.5000 0.5000 0.5000  6 La 2.72
La 0.9055 0.8073 0.5109  1 H 2.33
La 0.3946 0.9891 0.7964  1 H 2.33
H 0.7500 0.6250 0.3750  4 La 2.33
La 0.4055 0.0109 0.3073  1 H 2.33
La 0.5945 0.9891 0.6927  1 H 2.33
La 0.7964 0.3073 0.9018  1 H 2.33
La 0.6927 0.4891 0.5945  1 H 2.33
H 0.6250 0.7500 0.8750  4 La 2.33
La 0.3073 0.7964 0.4018  1 H 2.33
H 0.3750 0.2500 0.1250  4 La 2.33
La 0.6054 0.5945 0.9018  1 H 2.33
La 0.3073 0.5109 0.4055  1 H 2.33
La 0.9891 0.5945 0.1927  1 H 2.33
La 0.9055 0.0982 0.8946  1 H 2.33
La 0.9018 0.8073 0.7964  1 H 2.33
Mg 0.2500 0.6250 0.8750  8 La 3.34-3.38
La 0.9018 0.0945 0.6054  1 H 2.33
La 0.5982 0.7036 0.6927  1 H 2.33
Mg 0.6250 0.2500 0.3750  8 La 3.34-3.38
Mg 0.8750 0.1250 0.2500  8 La 3.34-3.38
La 0.4891 0.6927 0.0945  1 H 2.33
La 0.8946 0.2964 0.4891  1 H 2.33
H 0.5000 0.0000 0.5000  6 La 2.72
Mg 0.2500 0.1250 0.3750  8 La 3.34-3.38
H 0.0000 0.0000 0.0000  6 La 2.72
La 0.1054 0.4018 0.0945  1 H 2.33
H 0.0000 0.5000 0.0000  6 La 2.72
La 0.4055 0.3946 0.5982  1 H 2.33
La 0.6927 0.2036 0.5982  1 H 2.33
La 0.2964 0.4018 0.8073  1 H 2.33
La 0.5109 0.2036 0.1054  1 H 2.33
H 0.5000 0.0000 0.0000  6 La 2.72
La 0.0982 0.9055 0.3946  1 H 2.33
Mg 0.7500 0.3750 0.1250  8 La 3.34-3.38
H 0.8750 0.6250 0.7500  4 La 2.33
H 0.0000 0.0000 0.5000  6 La 2.72
La 0.5109 0.3073 0.9055  1 H 2.33
H 0.3750 0.1250 0.7500  4 La 2.33
La 0.1054 0.7036 0.5109  1 H 2.33
La 0.4018 0.2964 0.3073  1 H 2.33
Mg 0.8750 0.7500 0.1250  8 La 3.34-3.38
La 0.6054 0.0109 0.2036  1 H 2.33
Mg 0.3750 0.7500 0.6250  8 La 3.34-3.38
La 0.7036 0.5982 0.1927  1 H 2.33
Mg 0.7500 0.8750 0.6250  8 La 3.34-3.38
La 0.0109 0.6054 0.7036  1 H 2.33
Mg 0.1250 0.2500 0.8750  8 La 3.34-3.38
La 0.0982 0.1927 0.2036  1 H 2.33
H 0.8750 0.2500 0.6250  4 La 2.33
H 0.5000 0.5000 0.0000  6 La 2.72
La 0.2036 0.5109 0.6054  1 H 2.33
H 0.1250 0.7500 0.3750  4 La 2.33
La 0.5945 0.6054 0.4018  1 H 2.33
La 0.8073 0.9055 0.0109  1 H 2.33
La 0.0945 0.9018 0.1054  1 H 2.33
La 0.7036 0.1054 0.0109  1 H 2.33
La 0.8946 0.5982 0.9055  1 H 2.33
La 0.1927 0.0945 0.9891  1 H 2.33
La 0.2964 0.8946 0.9891  1 H 2.33
La 0.0109 0.4055 0.8073  1 H 2.33
La 0.8073 0.9018 0.2964  1 H 2.33
La 0.4018 0.1054 0.5945  1 H 2.33
Mg 0.3750 0.6250 0.2500  8 La 3.34-3.38
Mg 0.6250 0.3750 0.7500  8 La 3.34-3.38
H 0.2500 0.3750 0.6250  4 La 2.33
La 0.3946 0.4055 0.0982  1 H 2.33
La 0.5982 0.8946 0.4055  1 H 2.33
La 0.7964 0.4891 0.3946  1 H 2.33
La 0.9891 0.3946 0.2964  1 H 2.33
H 0.7500 0.1250 0.8750  4 La 2.33
H 0.2500 0.8750 0.1250  4 La 2.33
La 0.1927 0.0982 0.7036  1 H 2.33
H 0.1250 0.3750 0.2500  4 La 2.33
La 0.2036 0.6927 0.0982  1 H 2.33
Mg 0.1250 0.8750 0.7500  8 La 3.34-3.38
H 0.0000 0.5000 0.5000  6 La 2.72
La 0.4891 0.7964 0.8946  1 H 2.33